# La9Sm2Tm PBE optimized geometry
# Calculated formation energy: 7 meV/atom
# Calculated density: 6710 kg/m3
# Final energy: -58.2 eV/cell
data_La9Sm2Tm
_chemical_formula_sum 'La9 Sm2 Tm1'
_cell_length_a 5.214
_cell_length_b 5.214
_cell_length_c 15.658
_cell_angle_alpha 90.00
_cell_angle_beta 90.00
_cell_angle_gamma 90.00
_space_group_name_H-M_alt 'P 4/m m m'
_space_group_IT_number 123
_space_group_name_Hall '-P 4 2'
loop_
_atom_site_label
_atom_site_fract_x
_atom_site_fract_y
_atom_site_fract_z
La1 0.000 0.000 0.000
La2 0.000 0.000 0.333
La3 0.000 0.500 0.165
La4 0.000 0.500 0.500
Sm1 0.500 0.500 0.332
Tm1 0.500 0.500 0.000